The following is a PBE+U calculation of NiPNO2 after structural relaxation, from Alexandria via LeMat-Bulk.

```
NiPNO2
1.0
3.672 0.000 0.000
0.000 3.672 0.000
0.000 0.000 3.773
Ni N O P
1 1 2 1
Cartesian
0.000 0.000 0.000 Ni
0.000 0.000 1.886 N
0.000 1.836 0.000 O
1.836 0.000 0.000 O
1.836 1.836 1.886 P
```

SG = P4/mmm, No. 123
DOS(E_F) = 0.396 states/eV per atom
raw total energy = -4.415 eV per atom